Entry 1:
A plane-wave DFT calculation with PBE was carried out for a geometry-optimized CaTi2Ru structure.

## Properties
Fermi-level density of states   10.345 states/eV/cell
Total energy   -6.07 eV/atom
Space group   I4_1/amd, No. 141
ΔE_f   693 meV/atom
Energy above the most stable polymorph in this dataset   498 meV/atom

Cell and atoms, written as POSCAR:
```
CaTi2Ru
1.0
-2.395 2.395 8.654
2.395 -2.395 8.654
2.395 2.395 -8.654
Ca Ti Ru
2 4 2
direct
0.375 0.625 0.750
0.625 0.375 0.250
0.000 0.000 0.000
0.000 0.000 0.500
0.000 0.500 0.000
0.500 0.000 0.500
0.125 0.875 0.250
0.875 0.125 0.750
```

***

Entry 2:
A plane-wave DFT calculation with PBE was carried out for a geometry-optimized NaHoAgGe structure.

## Properties
Fermi-level density of states   2.023 states/eV/cell
Total energy   -3.63 eV/atom
Space group   F-43m, No. 216
ΔE_f   -291 meV/atom

Cell and atoms, written as POSCAR:
```
NaHoAgGe
1.0
0.000 3.522 3.522
3.522 0.000 3.522
3.522 3.522 0.000
Na Ho Ag Ge
1 1 1 1
direct
0.000 0.000 0.000
0.500 0.500 0.500
0.250 0.250 0.250
0.750 0.750 0.750
```